The following is a GGA-PBE calculation of a geometry-optimized TlZnFeRe structure, from OQMD via LeMat-Bulk.

abc: 4.4577 4.4577 4.4577
angles: 60.00 60.00 60.00
Fractional coordinates of all 4 atoms:
Fe: 0.7500 0.7500 0.7500
Re: 0.5000 0.5000 0.5000
Tl: 0.0000 0.0000 0.0000
Zn: 0.2500 0.2500 0.2500

Summary:
Space group = No. 216
Volume = 62.6 Å³ per cell
Total DFT energy (no corrections) = -21.33 eV/cell